# 1
The following is a DFT calculation (PBE-GGA) of a geometry-optimized BeAu structure.

Structure (CIF):
```
data_BeAu
_cell_length_a 4.2246
_cell_length_b 4.2870
_cell_length_c 10.1343
_cell_angle_alpha 90.00
_cell_angle_beta 90.00
_cell_angle_gamma 90.00
_symmetry_space_group_name_H-M 'P 1'
_symmetry_Int_Tables_number 1
_symmetry_space_group_name_Hall 'P 1'
loop_
_atom_site_label
_atom_site_fract_x
_atom_site_fract_y
_atom_site_fract_z
_atom_site_occupancy
Be1 0.0000 0.8344 0.6140 1
Be2 0.5000 0.1656 0.8860 1
Be3 0.5000 0.1656 0.1140 1
Be4 0.0000 0.8344 0.3860 1
Be5 0.0000 0.3864 0.0000 1
Be6 0.5000 0.6136 0.5000 1
Au1 0.0000 0.9368 0.8449 1
Au2 0.5000 0.0632 0.6551 1
Au3 0.5000 0.0632 0.3449 1
Au4 0.0000 0.9368 0.1551 1
Au5 0.0000 0.3650 0.5000 1
Au6 0.5000 0.6350 0.0000 1
```

# 2
The following is a DFT calculation (PBE-GGA) of a geometry-optimized BeAu structure.

Structure (CIF):
```
data_BeAu
_cell_length_a 4.9161
_cell_length_b 4.9161
_cell_length_c 4.9161
_cell_angle_alpha 137.54
_cell_angle_beta 137.54
_cell_angle_gamma 61.60
_symmetry_space_group_name_H-M 'P 1'
_symmetry_Int_Tables_number 1
_symmetry_space_group_name_Hall 'P 1'
loop_
_atom_site_label
_atom_site_fract_x
_atom_site_fract_y
_atom_site_fract_z
_atom_site_occupancy
Be1 0.5000 0.5000 0.0000 1
Be2 0.7500 0.2500 0.5000 1
Au1 0.0000 0.0000 0.0000 1
Au2 0.2500 0.7500 0.5000 1
```

# 3
The following is a DFT calculation (PBE-GGA) of a geometry-optimized BeAu2 structure.

Energy above the lowest structure with this stoichiometry in kcal/mol of atoms: 4.86

Structure (CIF):
```
data_BeAu2
_cell_length_a 12.4312
_cell_length_b 12.4312
_cell_length_c 12.4312
_cell_angle_alpha 161.92
_cell_angle_beta 161.92
_cell_angle_gamma 25.67
_symmetry_space_group_name_H-M 'P 1'
_symmetry_Int_Tables_number 1
_symmetry_space_group_name_Hall 'P 1'
loop_
_atom_site_label
_atom_site_fract_x
_atom_site_fract_y
_atom_site_fract_z
_atom_site_occupancy
Be1 0.9143 0.9143 0.0000 1
Be2 0.0857 0.0857 0.0000 1
Be3 0.1643 0.6643 0.5000 1
Be4 0.3357 0.8357 0.5000 1
Au1 0.7497 0.7497 0.0000 1
Au2 0.2503 0.2503 0.0000 1
Au3 0.9997 0.4997 0.5000 1
Au4 0.5003 0.0003 0.5000 1
Au5 0.5866 0.5866 0.0000 1
Au6 0.4134 0.4134 0.0000 1
Au7 0.8366 0.3366 0.5000 1
Au8 0.6634 0.1634 0.5000 1
```

# 4
The following is a DFT calculation (PBE-GGA) of a geometry-optimized BeAu structure.

Structure (CIF):
```
data_BeAu
_cell_length_a 5.2946
_cell_length_b 7.1971
_cell_length_c 8.3696
_cell_angle_alpha 90.00
_cell_angle_beta 90.00
_cell_angle_gamma 90.00
_symmetry_space_group_name_H-M 'P 1'
_symmetry_Int_Tables_number 1
_symmetry_space_group_name_Hall 'P 1'
loop_
_atom_site_label
_atom_site_fract_x
_atom_site_fract_y
_atom_site_fract_z
_atom_site_occupancy
Au1 0.7500 0.8547 0.1843 1
Au2 0.2500 0.1453 0.8157 1
Au3 0.7500 0.3547 0.8157 1
Au4 0.2500 0.6453 0.1843 1
Au5 0.7500 0.4684 0.3834 1
Au6 0.2500 0.5316 0.6166 1
Au7 0.7500 0.9684 0.6166 1
Au8 0.2500 0.0316 0.3834 1
Au9 0.0000 0.2500 0.1253 1
Au10 0.5000 0.7500 0.8747 1
Au11 0.0000 0.7500 0.8747 1
Au12 0.5000 0.2500 0.1253 1
Be1 0.7500 0.5417 0.0703 1
Be2 0.2500 0.4583 0.9297 1
Be3 0.7500 0.0417 0.9297 1
Be4 0.2500 0.9583 0.0703 1
Be5 0.7500 0.1227 0.3637 1
Be6 0.2500 0.8773 0.6363 1
Be7 0.7500 0.6227 0.6363 1
Be8 0.2500 0.3773 0.3637 1
Be9 0.0000 0.2500 0.5739 1
Be10 0.5000 0.7500 0.4261 1
Be11 0.0000 0.7500 0.4261 1
Be12 0.5000 0.2500 0.5739 1
```

# 5
The following is a DFT calculation (PBE-GGA) of a geometry-optimized BeAu structure.

Structure (CIF):
```
data_BeAu
_cell_length_a 8.3091
_cell_length_b 8.3091
_cell_length_c 4.3331
_cell_angle_alpha 90.00
_cell_angle_beta 90.00
_cell_angle_gamma 90.00
_symmetry_space_group_name_H-M 'P 1'
_symmetry_Int_Tables_number 1
_symmetry_space_group_name_Hall 'P 1'
loop_
_atom_site_label
_atom_site_fract_x
_atom_site_fract_y
_atom_site_fract_z
_atom_site_occupancy
Be1 0.9029 0.4029 0.0000 1
Be2 0.9029 0.5971 0.5000 1
Be3 0.0971 0.4029 0.5000 1
Be4 0.0971 0.5971 0.0000 1
Be5 0.5971 0.0971 0.5000 1
Be6 0.5971 0.9029 0.0000 1
Be7 0.4029 0.0971 0.0000 1
Be8 0.4029 0.9029 0.5000 1
Au1 0.3222 0.8222 0.0000 1
Au2 0.3222 0.1778 0.5000 1
Au3 0.6778 0.8222 0.5000 1
Au4 0.6778 0.1778 0.0000 1
Au5 0.1778 0.6778 0.5000 1
Au6 0.1778 0.3222 0.0000 1
Au7 0.8222 0.6778 0.0000 1
Au8 0.8222 0.3222 0.5000 1
```

# 6
The following is a DFT calculation (PBE-GGA) of a geometry-optimized BeAu4 structure.

Energy above the lowest structure with this stoichiometry in kcal/mol of atoms: 0.36

Structure (CIF):
```
data_BeAu4
_cell_length_a 5.3943
_cell_length_b 5.3943
_cell_length_c 6.8423
_cell_angle_alpha 113.22
_cell_angle_beta 113.22
_cell_angle_gamma 90.00
_symmetry_space_group_name_H-M 'P 1'
_symmetry_Int_Tables_number 1
_symmetry_space_group_name_Hall 'P 1'
loop_
_atom_site_label
_atom_site_fract_x
_atom_site_fract_y
_atom_site_fract_z
_atom_site_occupancy
Be1 0.7500 0.2500 0.5000 1
Be2 0.0000 0.0000 0.0000 1
Au1 0.0300 0.9376 0.3467 1
Au2 0.1591 0.2800 0.8467 1
Au3 0.7200 0.3124 0.1533 1
Au4 0.0624 0.6833 0.6533 1
Au5 0.6876 0.5667 0.8467 1
Au6 0.4333 0.8409 0.1533 1
Au7 0.5909 0.9700 0.6533 1
Au8 0.3167 0.4091 0.3467 1
```

# 7
The following is a DFT calculation (PBE-GGA) of a geometry-optimized Be5Au3 structure.

Structure (CIF):
```
data_Be5Au3
_cell_length_a 3.9129
_cell_length_b 5.0536
_cell_length_c 5.0536
_cell_angle_alpha 105.32
_cell_angle_beta 90.00
_cell_angle_gamma 90.00
_symmetry_space_group_name_H-M 'P 1'
_symmetry_Int_Tables_number 1
_symmetry_space_group_name_Hall 'P 1'
loop_
_atom_site_label
_atom_site_fract_x
_atom_site_fract_y
_atom_site_fract_z
_atom_site_occupancy
Be1 0.0000 0.0000 0.0000 1
Be2 0.0000 0.5000 0.0000 1
Be3 0.0000 0.0000 0.5000 1
Be4 0.5000 0.7346 0.7346 1
Be5 0.5000 0.2654 0.2654 1
Au1 0.0000 0.5000 0.5000 1
Au2 0.5000 0.7847 0.2153 1
Au3 0.5000 0.2153 0.7847 1
```

# 8
The following is a DFT calculation (PBE-GGA) of a geometry-optimized BeAu structure.

Structure (CIF):
```
data_BeAu
_cell_length_a 3.4002
_cell_length_b 3.4002
_cell_length_c 5.8503
_cell_angle_alpha 90.00
_cell_angle_beta 90.00
_cell_angle_gamma 120.00
_symmetry_space_group_name_H-M 'P 1'
_symmetry_Int_Tables_number 1
_symmetry_space_group_name_Hall 'P 1'
loop_
_atom_site_label
_atom_site_fract_x
_atom_site_fract_y
_atom_site_fract_z
_atom_site_occupancy
Be1 0.0000 0.0000 0.5240 1
Be2 0.6667 0.3333 0.7260 1
Au1 0.0000 0.0000 0.9348 1
Au2 0.6667 0.3333 0.3152 1
```

| no. | energy (eV per cell) | total magnetization (μB/atom) |
| --- | --- | --- |
| 1 | -41.70 | 0.00 |
| 2 | -14.13 | 0.00 |
| 3 | -40.13 | 0.00 |
| 4 | -85.67 | 0.00 |
| 5 | -55.57 | 0.00 |
| 6 | -34.32 | 0.00 |
| 7 | -28.89 | 0.00 |
| 8 | -14.12 | 0.00 |